[1]
{
  "formula": "CeY4S5",
  "functional": "PBE",
  "state": "optimized geometry",
  "formation_energy_uncorrected_ev_per_fu": -20.10,
  "energy_ev_per_atom": -7.253,
  "cell": [[-0.9584, 3.7968, 0.2857], [-5.3805, -1.3909, 0.4358], [4.0956, -1.7083, 9.4614]],
  "species": ["Ce", "Y", "Y", "Y", "Y", "S", "S", "S", "S", "S"],
  "frac_coords": [[0.0000, 0.0000, 0.0000], [0.4013, 0.4013, 0.8026], [0.8008, 0.8008, 0.6015], [0.1992, 0.1992, 0.3985], [0.5987, 0.5987, 0.1974], [0.6033, 0.1033, 0.2065], [0.8000, 0.3000, 0.6001], [0.2000, 0.7000, 0.3999], [0.0000, 0.5000, 0.0000], [0.3967, 0.8967, 0.7935]]
}

[2]
{
  "formula": "VAgGe2As",
  "functional": "PBE",
  "state": "optimized geometry",
  "ef_ev_per_fu": 6.24,
  "energy_ev_per_atom": -3.922,
  "cell": [[4.9805, 0.0000, 0.0000], [0.0000, 4.7762, 0.0000], [0.0000, 0.0000, 4.9805]],
  "species": ["As", "Ge", "Ge", "Ag", "V"],
  "frac_coords": [[0.0000, 0.0000, 0.0000], [0.0000, 0.0000, 0.5000], [0.5000, 0.0000, 0.0000], [0.0000, 0.5000, 0.0000], [0.5000, 0.5000, 0.5000]]
}

[3]
{
  "formula": "KNb3C",
  "functional": "PBE",
  "state": "optimized geometry",
  "ef_ev_per_fu": 18.89,
  "energy_ev_per_atom": -4.328,
  "de_polymorph_mev_per_atom": 2905,
  "cell": [[-1.2913, -1.8393, 3.9659], [-1.9844, -3.4381, -2.2407], [3.8954, -2.3613, 0.1733]],
  "species": ["C", "Nb", "Nb", "Nb", "K"],
  "frac_coords": [[0.5000, 0.5000, 0.5000], [0.0000, 0.5000, 0.0000], [0.0000, 0.0000, 0.5000], [0.5000, 0.0000, 0.0000], [0.0000, 0.0000, 0.0000]]
}

[4]
{
  "formula": "Sr2BeAgPb",
  "functional": "PBE",
  "state": "optimized geometry",
  "ef_ev_per_fu": 1.24,
  "energy_ev_per_atom": -2.482,
  "cell": [[-4.3401, -1.5123, 4.4658], [1.4257, -4.2853, -0.0656], [4.2590, 1.3465, 4.5951]],
  "species": ["Pb", "Sr", "Sr", "Ag", "Be"],
  "frac_coords": [[0.0000, 0.0000, 0.0000], [0.0000, 0.0000, 0.5000], [0.5000, 0.0000, 0.0000], [0.5000, 0.5000, 0.5000], [0.0000, 0.5000, 0.0000]]
}

[5]
{
  "formula": "LiDyGaAu",
  "functional": "PBE",
  "state": "optimized geometry",
  "ef_ev_per_fu": -2.45,
  "energy_ev_per_atom": -3.819,
  "de_polymorph_mev_per_atom": 0,
  "cell": [[4.7173, 0.0000, 0.0000], [2.3587, 4.0853, 0.0000], [2.3587, 1.3618, 3.8517]],
  "species": ["Li", "Dy", "Ga", "Au"],
  "frac_coords": [[0.0000, 0.0000, 0.0000], [0.2500, 0.2500, 0.2500], [0.7500, 0.7500, 0.7500], [0.5000, 0.5000, 0.5000]]
}

[6]
{
  "formula": "Ti2AlPd",
  "functional": "PBE",
  "state": "optimized geometry",
  "ef_ev_per_fu": -0.08,
  "energy_ev_per_atom": -6.200,
  "cell": [[-2.9506, 1.8458, -1.2531], [-0.9520, -2.9208, -2.0606], [-7.3432, -4.0680, 5.8387]],
  "species": ["Al", "Al", "Pd", "Pd", "Ti", "Ti", "Ti", "Ti"],
  "frac_coords": [[0.5000, 0.5000, 0.0000], [0.2500, 0.7500, 0.5000], [0.0000, 0.0000, 0.0000], [0.7500, 0.2500, 0.5000], [0.6213, 0.1250, 0.2500], [0.1287, 0.6250, 0.2500], [0.3750, 0.3787, 0.7500], [0.8750, 0.8713, 0.7500]]
}

Number 5 is which compound? LiDyGaAu